No. 1
A plane-wave DFT calculation with GGA-PBEsol was carried out for a relaxed structure of OsSO2F. Values from VASP.

ΔE_f (raw): -159 meV/atom
Total moment: 2.09 μB per cell
Space-group type: P4/mmm (123)
DOS at the Fermi energy: 0.5997 states/eV per atom

Structure (Quantum ESPRESSO input):
```
&SYSTEM
  ibrav = 0, nat = 5, ntyp = 4
/
ATOMIC_SPECIES
Os 190.23 Os.upf
S 32.06 S.upf
O 16.00 O.upf
F 19.00 F.upf
CELL_PARAMETERS angstrom
3.780 0.000 0.000
0.000 3.780 0.000
0.000 0.000 4.328
ATOMIC_POSITIONS crystal
Os 0.000 0.000 0.000
S 0.500 0.500 0.500
O 0.000 0.500 0.000
O 0.500 0.000 0.000
F 0.000 0.000 0.500
```

No. 2
A plane-wave DFT calculation with GGA-PBEsol was carried out for a relaxed structure of Sb2OsO2F14. Values from VASP.

ΔE_f (raw): -1925 meV/atom
Total moment: 0.00 μB per cell
Space-group type: P-1 (2)

Structure (Quantum ESPRESSO input):
```
&SYSTEM
  ibrav = 0, nat = 38, ntyp = 4
/
ATOMIC_SPECIES
Sb 121.76 Sb.upf
Os 190.23 Os.upf
O 16.00 O.upf
F 19.00 F.upf
CELL_PARAMETERS angstrom
7.511 0.000 0.000
-3.176 8.261 0.000
-3.664 -2.729 9.097
ATOMIC_POSITIONS crystal
Sb 0.057 0.154 0.322
Sb 0.409 0.699 0.863
Sb 0.591 0.301 0.137
Sb 0.943 0.846 0.678
Os 0.329 0.740 0.248
Os 0.671 0.260 0.752
O 0.273 0.730 0.394
O 0.489 0.056 0.701
O 0.511 0.944 0.299
O 0.727 0.270 0.606
F 0.019 0.819 0.523
F 0.097 0.136 0.149
F 0.109 0.782 0.133
F 0.151 0.516 0.131
F 0.157 0.071 0.757
F 0.181 0.485 0.799
F 0.183 0.782 0.796
F 0.236 0.388 0.388
F 0.275 0.091 0.422
F 0.380 0.733 0.049
F 0.384 0.375 0.052
F 0.400 0.071 0.067
F 0.409 0.680 0.677
F 0.468 0.340 0.701
F 0.532 0.660 0.299
F 0.591 0.320 0.323
F 0.600 0.929 0.933
F 0.616 0.625 0.948
F 0.620 0.267 0.951
F 0.725 0.909 0.578
F 0.764 0.612 0.612
F 0.817 0.218 0.204
F 0.819 0.515 0.201
F 0.843 0.929 0.243
F 0.849 0.484 0.869
F 0.891 0.218 0.867
F 0.903 0.864 0.851
F 0.981 0.181 0.477
```

No. 3
A plane-wave DFT calculation with GGA-PBEsol was carried out for a relaxed structure of SnOsO2F. Values from VASP.

ΔE_f (raw): 175 meV/atom
Total moment: 3.62 μB per cell
Space-group type: P4/mmm (123)
DOS at the Fermi energy: 1.0108 states/eV per atom

Structure (Quantum ESPRESSO input):
```
&SYSTEM
  ibrav = 0, nat = 5, ntyp = 4
/
ATOMIC_SPECIES
Sn 118.71 Sn.upf
Os 190.23 Os.upf
O 16.00 O.upf
F 19.00 F.upf
CELL_PARAMETERS angstrom
4.039 0.000 0.000
0.000 4.039 0.000
0.000 0.000 4.165
ATOMIC_POSITIONS crystal
Sn 0.000 0.000 0.000
Os 0.500 0.500 0.500
O 0.000 0.500 0.000
O 0.500 0.000 0.000
F 0.000 0.000 0.500
```

No. 4
A plane-wave DFT calculation with GGA-PBEsol was carried out for a relaxed structure of SnOsOF2. Values from VASP.

ΔE_f (raw): 76 meV/atom
Total moment: 4.51 μB per cell
Space-group type: P4/mmm (123)
DOS at the Fermi energy: 0.8750 states/eV per atom

Structure (Quantum ESPRESSO input):
```
&SYSTEM
  ibrav = 0, nat = 5, ntyp = 4
/
ATOMIC_SPECIES
Sn 118.71 Sn.upf
Os 190.23 Os.upf
O 16.00 O.upf
F 19.00 F.upf
CELL_PARAMETERS angstrom
4.421 0.000 0.000
0.000 4.421 0.000
0.000 0.000 4.009
ATOMIC_POSITIONS crystal
Sn 0.000 0.000 0.000
Os 0.500 0.500 0.500
O 0.000 0.000 0.500
F 0.000 0.500 0.000
F 0.500 0.000 0.000
```

No. 5
A plane-wave DFT calculation with GGA-PBEsol was carried out for a relaxed structure of TaOsOF2. Values from VASP.

ΔE_f (raw): -402 meV/atom
Total moment: 2.70 μB per cell
Space-group type: P4/mmm (123)
DOS at the Fermi energy: 0.9865 states/eV per atom

Structure (Quantum ESPRESSO input):
```
&SYSTEM
  ibrav = 0, nat = 5, ntyp = 4
/
ATOMIC_SPECIES
Ta 180.95 Ta.upf
Os 190.23 Os.upf
O 16.00 O.upf
F 19.00 F.upf
CELL_PARAMETERS angstrom
4.190 0.000 0.000
0.000 4.190 0.000
0.000 0.000 3.898
ATOMIC_POSITIONS crystal
Ta 0.000 0.000 0.000
Os 0.500 0.500 0.500
O 0.000 0.000 0.500
F 0.000 0.500 0.000
F 0.500 0.000 0.000
```

No. 6
A plane-wave DFT calculation with GGA-PBEsol was carried out for a relaxed structure of OsWO2F. Values from VASP.

ΔE_f (raw): 413 meV/atom
Total moment: 4.58 μB per cell
Space-group type: P4/mmm (123)
DOS at the Fermi energy: 0.6291 states/eV per atom

Structure (Quantum ESPRESSO input):
```
&SYSTEM
  ibrav = 0, nat = 5, ntyp = 4
/
ATOMIC_SPECIES
Os 190.23 Os.upf
W 183.84 W.upf
O 16.00 O.upf
F 19.00 F.upf
CELL_PARAMETERS angstrom
3.633 0.000 0.000
0.000 3.633 0.000
0.000 0.000 6.398
ATOMIC_POSITIONS crystal
Os 0.000 0.000 0.000
W 0.500 0.500 0.500
O 0.000 0.500 0.000
O 0.500 0.000 0.000
F 0.000 0.000 0.500
```

No. 7
A plane-wave DFT calculation with GGA-PBEsol was carried out for a relaxed structure of ZrOsOF2. Values from VASP.

ΔE_f (raw): -994 meV/atom
Total moment: 3.88 μB per cell
Space-group type: P4/mmm (123)
DOS at the Fermi energy: 1.1367 states/eV per atom

Structure (Quantum ESPRESSO input):
```
&SYSTEM
  ibrav = 0, nat = 5, ntyp = 4
/
ATOMIC_SPECIES
Zr 91.22 Zr.upf
Os 190.23 Os.upf
O 16.00 O.upf
F 19.00 F.upf
CELL_PARAMETERS angstrom
4.259 0.000 0.000
0.000 4.259 0.000
0.000 0.000 4.055
ATOMIC_POSITIONS crystal
Zr 0.000 0.000 0.000
Os 0.500 0.500 0.500
O 0.000 0.000 0.500
F 0.000 0.500 0.000
F 0.500 0.000 0.000
```

No. 8
A plane-wave DFT calculation with GGA-PBEsol was carried out for a relaxed structure of P2O3F4. Values from VASP.

ΔE_f (raw): -2333 meV/atom
Total moment: 0.00 μB per cell
Space-group type: Pcca (54)
DOS at the Fermi energy: 0.0000 states/eV per atom

Structure (Quantum ESPRESSO input):
```
&SYSTEM
  ibrav = 0, nat = 36, ntyp = 3
/
ATOMIC_SPECIES
P 30.97 P.upf
O 16.00 O.upf
F 19.00 F.upf
CELL_PARAMETERS angstrom
12.451 0.000 0.000
0.000 6.605 0.000
0.000 0.000 6.419
ATOMIC_POSITIONS crystal
P 0.099 0.186 0.121
P 0.099 0.814 0.621
P 0.401 0.186 0.621
P 0.401 0.814 0.121
P 0.599 0.186 0.879
P 0.599 0.814 0.379
P 0.901 0.186 0.379
P 0.901 0.814 0.879
O 0.000 0.269 0.250
O 0.000 0.731 0.750
O 0.109 0.030 0.581
O 0.109 0.970 0.081
O 0.391 0.030 0.081
O 0.391 0.970 0.581
O 0.500 0.269 0.750
O 0.500 0.731 0.250
O 0.609 0.030 0.419
O 0.609 0.970 0.919
O 0.891 0.030 0.919
O 0.891 0.970 0.419
F 0.092 0.326 0.929
F 0.092 0.674 0.429
F 0.193 0.286 0.238
F 0.193 0.714 0.738
F 0.307 0.286 0.738
F 0.307 0.714 0.238
F 0.408 0.326 0.429
F 0.408 0.674 0.929
F 0.592 0.326 0.071
F 0.592 0.674 0.571
F 0.693 0.286 0.762
F 0.693 0.714 0.262
F 0.807 0.286 0.262
F 0.807 0.714 0.762
F 0.908 0.326 0.571
F 0.908 0.674 0.071
```

- Which value of total moment does entry 4 give?
  4.51 μB per cell

Copy entry 2 word for word.
A plane-wave DFT calculation with GGA-PBEsol was carried out for a relaxed structure of Sb2OsO2F14. Values from VASP.

ΔE_f (raw): -1925 meV/atom
Total moment: 0.00 μB per cell
Space-group type: P-1 (2)

Structure (Quantum ESPRESSO input):
```
&SYSTEM
  ibrav = 0, nat = 38, ntyp = 4
/
ATOMIC_SPECIES
Sb 121.76 Sb.upf
Os 190.23 Os.upf
O 16.00 O.upf
F 19.00 F.upf
CELL_PARAMETERS angstrom
7.511 0.000 0.000
-3.176 8.261 0.000
-3.664 -2.729 9.097
ATOMIC_POSITIONS crystal
Sb 0.057 0.154 0.322
Sb 0.409 0.699 0.863
Sb 0.591 0.301 0.137
Sb 0.943 0.846 0.678
Os 0.329 0.740 0.248
Os 0.671 0.260 0.752
O 0.273 0.730 0.394
O 0.489 0.056 0.701
O 0.511 0.944 0.299
O 0.727 0.270 0.606
F 0.019 0.819 0.523
F 0.097 0.136 0.149
F 0.109 0.782 0.133
F 0.151 0.516 0.131
F 0.157 0.071 0.757
F 0.181 0.485 0.799
F 0.183 0.782 0.796
F 0.236 0.388 0.388
F 0.275 0.091 0.422
F 0.380 0.733 0.049
F 0.384 0.375 0.052
F 0.400 0.071 0.067
F 0.409 0.680 0.677
F 0.468 0.340 0.701
F 0.532 0.660 0.299
F 0.591 0.320 0.323
F 0.600 0.929 0.933
F 0.616 0.625 0.948
F 0.620 0.267 0.951
F 0.725 0.909 0.578
F 0.764 0.612 0.612
F 0.817 0.218 0.204
F 0.819 0.515 0.201
F 0.843 0.929 0.243
F 0.849 0.484 0.869
F 0.891 0.218 0.867
F 0.903 0.864 0.851
F 0.981 0.181 0.477
```

- total moment of number 7 (ZrOsOF2)?
  3.88 μB per cell